Ta4BeGe | PBE | optimized geometry

a = 6.151 Å, b = 6.151 Å, c = 5.062 Å
α = 90.00°, β = 90.00°, γ = 90.00°
Positions (direct):
Ta (0.145, 0.324, 0.000)
Ta (0.145, 0.676, 0.500)
Ta (0.324, 0.145, 0.500)
Ta (0.324, 0.855, 0.000)
Ta (0.676, 0.145, 0.000)
Ta (0.676, 0.855, 0.500)
Ta (0.855, 0.324, 0.500)
Ta (0.855, 0.676, 0.000)
Be (0.000, 0.000, 0.250)
Be (0.000, 0.000, 0.750)
Ge (0.500, 0.500, 0.250)
Ge (0.500, 0.500, 0.750)

## Properties
DOS(E_F) (states/eV per atom): 0.650
Symmetry: P4/mcc

---

EuHoPbAu | PBE | optimized geometry

a = 5.358 Å, b = 5.358 Å, c = 5.358 Å
α = 60.00°, β = 60.00°, γ = 60.00°
Positions (direct):
Eu (0.000, 0.000, 0.000)
Ho (0.500, 0.500, 0.500)
Pb (0.750, 0.750, 0.750)
Au (0.250, 0.250, 0.250)

## Properties
DOS(E_F) (states/eV per atom): 2.148
Symmetry: F-43m

---

Ni5H12W3 | PBE | optimized geometry

a = 9.026 Å, b = 9.026 Å, c = 9.026 Å
α = 109.47°, β = 109.47°, γ = 109.47°
Positions (direct):
Ni (0.000, 0.000, 0.000)
Ni (0.000, 0.000, 0.500)
Ni (0.000, 0.500, 0.000)
Ni (0.000, 0.500, 0.500)
Ni (0.125, 0.750, 0.875)
Ni (0.125, 0.875, 0.250)
Ni (0.250, 0.125, 0.875)
Ni (0.250, 0.625, 0.375)
Ni (0.375, 0.250, 0.625)
Ni (0.375, 0.625, 0.750)
Ni (0.500, 0.000, 0.000)
Ni (0.500, 0.000, 0.500)
Ni (0.500, 0.500, 0.000)
Ni (0.500, 0.500, 0.500)
Ni (0.625, 0.375, 0.250)
Ni (0.625, 0.750, 0.375)
Ni (0.750, 0.375, 0.625)
Ni (0.750, 0.875, 0.125)
Ni (0.875, 0.125, 0.750)
Ni (0.875, 0.250, 0.125)
H (0.045, 0.217, 0.131)
H (0.045, 0.328, 0.914)
H (0.086, 0.631, 0.414)
H (0.086, 0.717, 0.672)
H (0.086, 0.869, 0.414)
H (0.086, 0.955, 0.672)
H (0.131, 0.045, 0.217)
H (0.131, 0.586, 0.914)
H (0.172, 0.217, 0.586)
H (0.172, 0.455, 0.586)
H (0.217, 0.131, 0.045)
H (0.217, 0.586, 0.172)
H (0.283, 0.328, 0.914)
H (0.283, 0.455, 0.369)
H (0.328, 0.914, 0.045)
H (0.328, 0.914, 0.283)
H (0.369, 0.283, 0.455)
H (0.369, 0.586, 0.914)
H (0.414, 0.086, 0.631)
H (0.414, 0.086, 0.869)
H (0.414, 0.828, 0.545)
H (0.414, 0.828, 0.783)
H (0.455, 0.369, 0.283)
H (0.455, 0.586, 0.172)
H (0.545, 0.414, 0.828)
H (0.545, 0.631, 0.717)
H (0.586, 0.172, 0.217)
H (0.586, 0.172, 0.455)
H (0.586, 0.914, 0.131)
H (0.586, 0.914, 0.369)
H (0.631, 0.414, 0.086)
H (0.631, 0.717, 0.545)
H (0.672, 0.086, 0.717)
H (0.672, 0.086, 0.955)
H (0.717, 0.545, 0.631)
H (0.717, 0.672, 0.086)
H (0.783, 0.414, 0.828)
H (0.783, 0.869, 0.955)
H (0.828, 0.545, 0.414)
H (0.828, 0.783, 0.414)
H (0.869, 0.414, 0.086)
H (0.869, 0.955, 0.783)
H (0.914, 0.045, 0.328)
H (0.914, 0.131, 0.586)
H (0.914, 0.283, 0.328)
H (0.914, 0.369, 0.586)
H (0.955, 0.672, 0.086)
H (0.955, 0.783, 0.869)
W (0.125, 0.250, 0.375)
W (0.125, 0.375, 0.750)
W (0.250, 0.375, 0.125)
W (0.250, 0.875, 0.625)
W (0.375, 0.125, 0.250)
W (0.375, 0.750, 0.125)
W (0.625, 0.250, 0.875)
W (0.625, 0.875, 0.750)
W (0.750, 0.125, 0.375)
W (0.750, 0.625, 0.875)
W (0.875, 0.625, 0.250)
W (0.875, 0.750, 0.625)

## Properties
DOS(E_F) (states/eV per atom): 0.386
Symmetry: Ia-3d

---

Tl12CdPb3 | PBE | optimized geometry

a = 5.072 Å, b = 5.072 Å, c = 18.907 Å
α = 90.00°, β = 90.00°, γ = 90.00°
Positions (direct):
Tl (0.000, 0.000, 0.000)
Tl (0.000, 0.000, 0.247)
Tl (0.000, 0.000, 0.500)
Tl (0.000, 0.000, 0.753)
Tl (0.000, 0.500, 0.122)
Tl (0.000, 0.500, 0.375)
Tl (0.000, 0.500, 0.625)
Tl (0.000, 0.500, 0.878)
Tl (0.500, 0.000, 0.122)
Tl (0.500, 0.000, 0.375)
Tl (0.500, 0.000, 0.625)
Tl (0.500, 0.000, 0.878)
Cd (0.500, 0.500, 0.000)
Pb (0.500, 0.500, 0.249)
Pb (0.500, 0.500, 0.500)
Pb (0.500, 0.500, 0.751)

## Properties
DOS(E_F) (states/eV per atom): 0.556
Symmetry: P4/mmm

---

Number 1: calculated total energy -9.5985 eV per atom. Number 2: calculated total energy -6.0923 eV per atom. Number 3: calculated total energy -5.2086 eV per atom. Number 4: calculated total energy -2.5013 eV per atom.